{"formula": "Ca2ZnGa4Rh3", "functional": "PBE-GGA", "state": "relaxed", "lattice": [[4.183, 0.000, 0.000], [0.000, 4.183, 0.000], [0.000, 0.000, 10.657]], "species": ["Ga", "Rh", "Rh", "Ga", "Rh", "Ga", "Ca", "Ca", "Zn", "Ga"], "frac_coords": [[0.000, 0.500, 0.365], [0.000, 0.000, 0.500], [0.500, 0.000, 0.868], [0.500, 0.000, 0.635], [0.000, 0.500, 0.132], [0.500, 0.500, 0.000], [0.000, 0.500, 0.754], [0.500, 0.000, 0.246], [0.500, 0.500, 0.500], [0.000, 0.000, 0.000]], "ef_mev_per_atom": -590, "sg": "P-4m2, No. 115"}